The following is a DFT calculation (PBEsol) of a geometry-optimized CsKNa2Sn structure.

Values from the calculation:
calculated volume	249	Å³/cell
calculated formation energy	-5	kJ per mole of atoms

Unit cell a=6.106 b=6.106 c=6.676 alpha=90.00 beta=90.00 gamma=90.00
Space group P4/mmm (No. 123)
Inequivalent atoms, fractional coordinates:
1 Cs 0.000 0.000 0.000 (multiplicity 1)
2 K 0.500 0.500 0.000 (multiplicity 1)
3 Na 0.000 0.500 0.500 (multiplicity 2)
4 Sn 0.500 0.500 0.500 (multiplicity 1)